{"formula": "Ac5Np2S12", "functional": "PBE", "state": "relaxed", "cell": [[-0.759, 6.146, 4.621], [-6.753, -1.368, -5.751], [-1.698, -5.730, 7.342]], "species": ["Ac", "Ac", "Ac", "Ac", "Ac", "Np", "Np", "S", "S", "S", "S", "S", "S", "S", "S", "S", "S", "S", "S"], "frac_coords": [[0.300, 0.599, 0.639], [0.310, 0.620, 0.171], [0.000, 0.000, 0.500], [0.690, 0.380, 0.829], [0.700, 0.401, 0.361], [0.751, 0.000, 0.000], [0.249, 0.000, 0.000], [0.000, 0.000, 0.187], [0.099, 0.665, 0.916], [0.566, 0.665, 0.916], [0.100, 0.698, 0.428], [0.598, 0.698, 0.428], [0.498, 0.996, 0.803], [0.502, 0.004, 0.197], [0.900, 0.302, 0.572], [0.402, 0.302, 0.572], [0.901, 0.335, 0.084], [0.434, 0.335, 0.084], [0.000, 0.000, 0.813]], "e_form_raw_ev_per_atom": -1.853, "e_tot_ev_per_atom": -6.9034, "space_group": "C2/m (12)", "total_magnetization_mub_per_atom": 0.263}